Entry from the Alexandria database: a geometry-optimized NaSbH3 structure (GGA-PBE).

a b c (Å): 4.2274 4.2274 4.2274
angles (deg): 90.00 90.00 90.00
Closest atoms and distances in Å follow each position.
Fractional positions:
Na  0.0000  0.0000  0.0000  12 H 2.99
Sb  0.5000  0.5000  0.5000  6 H 2.11
H  0.0000  0.5000  0.5000  2 Sb 2.11
H  0.5000  0.0000  0.5000  2 Sb 2.11
H  0.5000  0.5000  0.0000  2 Sb 2.11

## Properties
- DOS at the Fermi energy: 0.207 states/eV/atom
- Final energy: -0.2070 Ry/atom
- Offset from the most stable computed form: 0 meV per atom
- Crystal system: cubic
- Magnetic moment: 0.000 μB/f.u.